Record 1
The following is a DFT calculation (PBE) of an optimized crystal structure of LaTb2Fe.

```
LaTb2Fe
1.0
1.7576 1.0148 10.7058
-1.7576 1.0148 10.7058
0.0000 -2.0296 10.7058
La Tb Fe
1 2 1
direct
0.0000 0.0000 0.0000
0.1095 0.1095 0.1095
0.8905 0.8905 0.8905
0.5000 0.5000 0.5000
```

Output
DFT formation energy in meV per atom: 296
Spin magnetization in μB per cell: 1.02
Space-group type: R-3m (166)
N(E_F) in states/eV per cell: 5.7
Energy relative to the lowest polymorph listed for this composition in eV per formula unit: 0.80

***

Record 2
The following is a DFT calculation (PBE) of an optimized crystal structure of LaTbFe.

```
LaTbFe
1.0
-1.7239 1.7239 6.6054
1.7239 -1.7239 6.6054
1.7239 1.7239 -6.6054
La Tb Fe
1 1 1
direct
0.0000 0.0000 0.0000
0.7509 0.7509 0.0000
0.3697 0.3697 0.0000
```

Output
DFT formation energy in meV per atom: 131
Spin magnetization in μB per cell: 0.74
Space-group type: I4mm (107)
N(E_F) in states/eV per cell: 3.9
Energy relative to the lowest polymorph listed for this composition in eV per formula unit: 0.18

***

Record 3
The following is a DFT calculation (PBE) of an optimized crystal structure of LaTbZnFe.

```
LaTbZnFe
1.0
0.0000 3.5793 3.5793
3.5793 0.0000 3.5793
3.5793 3.5793 0.0000
La Tb Zn Fe
1 1 1 1
direct
0.0000 0.0000 0.0000
0.5000 0.5000 0.5000
0.7500 0.7500 0.7500
0.2500 0.2500 0.2500
```

Output
DFT formation energy in meV per atom: -13
Spin magnetization in μB per cell: 1.44
Space-group type: F-43m (216)
N(E_F) in states/eV per cell: 3.7

***

Record 4
The following is a DFT calculation (PBE) of an optimized crystal structure of LaFe2Tc.

```
LaFe2Tc
1.0
2.0716 1.1961 5.2512
-2.0716 1.1961 5.2512
0.0000 -2.3921 5.2512
La Fe Tc
1 2 1
direct
0.0000 0.0000 0.0000
0.1906 0.1906 0.1906
0.5097 0.5097 0.5097
0.8106 0.8106 0.8106
```

Output
DFT formation energy in meV per atom: 181
Spin magnetization in μB per cell: 2.67
Space-group type: R3m (160)
N(E_F) in states/eV per cell: 4.6
Energy relative to the lowest polymorph listed for this composition in eV per formula unit: 0.12

***

Q: Which E_tot values were calculated for the entries above? A: -5.3670, -5.8759, -4.8365, -7.8732, in eV/atom.